SrAl2Cu2 | GGA-PBE | relaxed

a = 7.9683 Å, b = 7.9683 Å, c = 2.7953 Å
α = 90.00°, β = 90.00°, γ = 90.00°
Element x y z (fractional)
Sr1 0.0000 0.0000 0.0000
Sr2 0.5000 0.5000 0.0000
Al1 0.1408 0.6408 0.5000
Al2 0.6408 0.8592 0.5000
Al3 0.8592 0.3592 0.5000
Al4 0.3592 0.1408 0.5000
Cu1 0.3567 0.8567 0.0000
Cu2 0.8567 0.6433 0.0000
Cu3 0.6433 0.1433 0.0000
Cu4 0.1433 0.3567 0.0000

Calculated values
Space group: P4/mbm, No. 127



SrAlCu2 | GGA-PBE | relaxed

a = 5.1195 Å, b = 5.1195 Å, c = 5.1195 Å
α = 128.51°, β = 128.51°, γ = 75.80°
Element x y z (fractional)
Sr1 0.5000 0.5000 0.0000
Al1 0.7500 0.2500 0.5000
Cu1 0.0000 0.0000 0.0000
Cu2 0.2500 0.7500 0.5000

Calculated values
Space group: I-4m2, No. 119



Sr2AlCu | GGA-PBE | relaxed

a = 3.7466 Å, b = 5.5776 Å, c = 5.5776 Å
α = 90.00°, β = 90.00°, γ = 90.00°
Element x y z (fractional)
Sr1 0.0000 0.0000 0.5000
Sr2 0.0000 0.5000 0.0000
Al1 0.5000 0.5000 0.5000
Cu1 0.5000 0.0000 0.0000

Calculated values
Space group: P4/mmm, No. 123



SrAl2Cu4 | GGA-PBE | relaxed

a = 6.7180 Å, b = 6.7180 Å, c = 6.7180 Å
α = 110.25°, β = 109.08°, γ = 109.08°
Element x y z (fractional)
Sr1 0.0000 0.2500 0.2500
Sr2 0.0000 0.7500 0.7500
Al1 0.8075 0.1538 0.6538
Al2 0.1925 0.8462 0.3462
Al3 0.5000 0.6538 0.8462
Al4 0.5000 0.3462 0.1538
Cu1 0.7818 0.8025 0.3025
Cu2 0.2182 0.5207 0.0207
Cu3 0.5000 0.3025 0.5207
Cu4 0.5000 0.0207 0.8025
Cu5 0.5000 0.9793 0.1975
Cu6 0.5000 0.6975 0.4793
Cu7 0.7818 0.4793 0.9793
Cu8 0.2182 0.1975 0.6975

Calculated values
Space group: I4/mcm, No. 140



SrAlCu | GGA-PBE | relaxed

a = 5.0585 Å, b = 5.0585 Å, c = 5.0585 Å
α = 60.00°, β = 60.00°, γ = 60.00°
Element x y z (fractional)
Sr1 0.2500 0.2500 0.2500
Al1 0.0000 0.0000 0.0000
Cu1 0.5000 0.5000 0.5000

Calculated values
Space group: F-43m, No. 216



Sr2Al5Cu4 | GGA-PBE | relaxed

a = 5.5120 Å, b = 5.7181 Å, c = 8.1972 Å
α = 80.67°, β = 70.35°, γ = 61.19°
Element x y z (fractional)
Sr1 0.8633 0.0000 0.2733
Sr2 0.1367 0.0000 0.7267
Al1 0.5000 0.0000 0.0000
Al2 0.0000 0.5000 0.0000
Al3 0.5000 0.5000 0.0000
Al4 0.2500 0.5000 0.5000
Al5 0.7500 0.5000 0.5000
Cu1 0.4715 0.3153 0.7417
Cu2 0.5285 0.6847 0.2583
Cu3 0.2132 0.3153 0.2583
Cu4 0.7868 0.6847 0.7417

Calculated values
Space group: Fmmm, No. 69



Sr2Al2Cu | GGA-PBE | relaxed

a = 7.1655 Å, b = 7.1655 Å, c = 5.2120 Å
α = 90.00°, β = 90.00°, γ = 90.00°
Element x y z (fractional)
Sr1 0.1736 0.6736 0.5000
Sr2 0.6736 0.8264 0.5000
Sr3 0.8264 0.3264 0.5000
Sr4 0.3264 0.1736 0.5000
Al1 0.3643 0.8643 0.0000
Al2 0.8643 0.6357 0.0000
Al3 0.6357 0.1357 0.0000
Al4 0.1357 0.3643 0.0000
Cu1 0.0000 0.0000 0.0000
Cu2 0.5000 0.5000 0.0000

Calculated values
Space group: P4/mbm, No. 127
Relative energy among the computed polymorphs: 0.178 eV/atom



SrAl2Cu2 | GGA-PBE | relaxed

a = 4.2034 Å, b = 4.2034 Å, c = 6.2637 Å
α = 70.40°, β = 70.40°, γ = 90.00°
Element x y z (fractional)
Sr1 0.0000 0.0000 0.0000
Al1 0.7500 0.2500 0.5000
Al2 0.2500 0.7500 0.5000
Cu1 0.3786 0.3786 0.2429
Cu2 0.6214 0.6214 0.7571

Calculated values
Space group: I4/mmm, No. 139



SrAl2Cu6 | GGA-PBE | relaxed

a = 4.2202 Å, b = 6.7221 Å, c = 6.7221 Å
α = 60.49°, β = 71.71°, γ = 71.71°
Element x y z (fractional)
Sr1 0.0000 0.0000 0.0000
Al1 0.8628 0.6372 0.6372
Al2 0.1372 0.3628 0.3628
Cu1 0.7181 0.0914 0.4724
Cu2 0.2819 0.9086 0.5276
Cu3 0.2819 0.5276 0.9086
Cu4 0.5000 0.6688 0.3312
Cu5 0.5000 0.3312 0.6688
Cu6 0.7181 0.4724 0.0914

Calculated values
Space group: Immm, No. 71



SrAl7Cu5 | GGA-PBE | relaxed

a = 5.1436 Å, b = 6.7740 Å, c = 6.7740 Å
α = 82.22°, β = 67.69°, γ = 67.69°
Element x y z (fractional)
Sr1 0.0022 0.9978 0.9978
Al1 0.6488 0.3512 0.3512
Al2 0.3486 0.6514 0.6514
Al3 0.9911 0.3593 0.6585
Al4 0.9911 0.6585 0.3593
Al5 0.2701 0.2299 0.2299
Al6 0.5061 0.7777 0.2101
Al7 0.5061 0.2101 0.7777
Cu1 0.4997 0.0009 0.4968
Cu2 0.0026 0.0009 0.4968
Cu3 0.4997 0.4968 0.0009
Cu4 0.0026 0.4968 0.0009
Cu5 0.7313 0.7687 0.7687

Calculated values
Space group: Imm2, No. 44



SrAl3Cu | GGA-PBE | relaxed

a = 5.8630 Å, b = 5.8630 Å, c = 5.8630 Å
α = 90.00°, β = 90.00°, γ = 90.00°
Element x y z (fractional)
Sr1 0.0000 0.0000 0.0000
Al1 0.0000 0.5000 0.0000
Al2 0.0000 0.0000 0.5000
Al3 0.5000 0.0000 0.0000
Cu1 0.5000 0.5000 0.5000

Calculated values
Space group: Pm-3m, No. 221



SrAlCu2 | GGA-PBE | relaxed

a = 4.1097 Å, b = 7.3469 Å, c = 11.1570 Å
α = 90.00°, β = 90.00°, γ = 90.00°
Element x y z (fractional)
Sr1 0.7500 0.7246 0.2964
Sr2 0.7500 0.2246 0.2036
Sr3 0.2500 0.2754 0.7036
Sr4 0.2500 0.7754 0.7964
Al1 0.2500 0.0675 0.4286
Al2 0.7500 0.9325 0.5714
Al3 0.2500 0.5675 0.0714
Al4 0.7500 0.4325 0.9286
Cu1 0.7500 0.7471 0.0174
Cu2 0.2500 0.2529 0.9826
Cu3 0.7500 0.2471 0.4826
Cu4 0.2500 0.7529 0.5174
Cu5 0.7500 0.0726 0.9443
Cu6 0.2500 0.4274 0.4443
Cu7 0.7500 0.5726 0.5557
Cu8 0.2500 0.9274 0.0557

Calculated values
Space group: Pnma, No. 62



Sr2Al7Cu | GGA-PBE | relaxed

a = 4.3557 Å, b = 4.3557 Å, c = 11.3482 Å
α = 90.00°, β = 90.00°, γ = 90.00°
Element x y z (fractional)
Sr1 0.5000 0.0000 0.7550
Sr2 0.0000 0.5000 0.2450
Al1 0.0000 0.5000 0.8735
Al2 0.5000 0.0000 0.3596
Al3 0.5000 0.0000 0.1265
Al4 0.0000 0.5000 0.6404
Al5 0.0000 0.0000 0.5000
Al6 0.0000 0.0000 0.0000
Al7 0.5000 0.5000 0.5000
Cu1 0.5000 0.5000 0.0000

Calculated values
Space group: P-4m2, No. 115



SrAl2Cu2 | GGA-PBE | relaxed

a = 4.4788 Å, b = 4.4788 Å, c = 9.9603 Å
α = 90.00°, β = 90.00°, γ = 92.16°
Element x y z (fractional)
Sr1 0.7723 0.7723 0.2500
Sr2 0.2277 0.2277 0.7500
Al1 0.7062 0.7062 0.6067
Al2 0.2938 0.2938 0.1067
Al3 0.7062 0.7062 0.8933
Al4 0.2938 0.2938 0.3933
Cu1 0.2069 0.7931 0.0000
Cu2 0.7931 0.2069 0.5000
Cu3 0.2069 0.7931 0.5000
Cu4 0.7931 0.2069 0.0000

Calculated values
Space group: Cmcm, No. 63



Sr2Al5Cu3 | GGA-PBE | relaxed

a = 6.1386 Å, b = 8.6766 Å, c = 8.6766 Å
α = 76.10°, β = 69.28°, γ = 69.28°
Element x y z (fractional)
Sr1 0.1289 0.6236 0.1186
Sr2 0.6289 0.1186 0.6236
Sr3 0.8711 0.3764 0.8814
Sr4 0.3711 0.8814 0.3764
Al1 0.3829 0.2465 0.9876
Al2 0.8829 0.9876 0.2465
Al3 0.6171 0.7535 0.0124
Al4 0.1171 0.0124 0.7535
Al5 0.5106 0.7394 0.7394
Al6 0.4894 0.2606 0.2606
Al7 0.7500 0.5000 0.5000
Al8 0.2500 0.5000 0.5000
Al9 0.9894 0.2606 0.2606
Al10 0.0106 0.7394 0.7394
Cu1 0.3795 0.4894 0.7515
Cu2 0.8795 0.7515 0.4894
Cu3 0.6205 0.5105 0.2485
Cu4 0.1205 0.2485 0.5105
Cu5 0.2500 0.0000 0.0000
Cu6 0.7500 0.0000 0.0000

Calculated values
Space group: Ibam, No. 72



SrAl2Cu9 | GGA-PBE | relaxed

a = 6.6861 Å, b = 7.9892 Å, c = 7.9892 Å
α = 79.92°, β = 65.26°, γ = 65.26°
Element x y z (fractional)
Sr1 0.5000 0.0000 0.0000
Sr2 0.2500 0.5000 0.5000
Al1 0.8750 0.2500 0.7500
Al2 0.8750 0.7500 0.2500
Al3 0.8750 0.2500 0.2500
Al4 0.3750 0.7500 0.7500
Cu1 0.7500 0.5000 0.5000
Cu2 0.0000 0.0000 0.0000
Cu3 0.0200 0.9154 0.6676
Cu4 0.6029 0.0846 0.3324
Cu5 0.6854 0.1676 0.5846
Cu6 0.4375 0.8324 0.4154
Cu7 0.7300 0.8324 0.5846
Cu8 0.1471 0.1676 0.4154
Cu9 0.0646 0.9154 0.3324
Cu10 0.3125 0.0846 0.6676
Cu11 0.7300 0.5846 0.8324
Cu12 0.1471 0.4154 0.1676
Cu13 0.0646 0.3324 0.9154
Cu14 0.3125 0.6676 0.0846
Cu15 0.0200 0.6676 0.9154
Cu16 0.6029 0.3324 0.0846
Cu17 0.6854 0.5846 0.1676
Cu18 0.4375 0.4154 0.8324

Calculated values
Space group: I4_1/amd, No. 141



SrAl12Cu6 | GGA-PBE | relaxed

a = 7.1473 Å, b = 7.1473 Å, c = 7.1473 Å
α = 104.99°, β = 104.99°, γ = 104.99°
Element x y z (fractional)
Sr1 0.0000 0.0000 0.0000
Al1 0.8802 0.1198 0.5000
Al2 0.8357 0.5781 0.5781
Al3 0.5781 0.5781 0.8357
Al4 0.4219 0.1643 0.4219
Al5 0.4219 0.4219 0.1643
Al6 0.1643 0.4219 0.4219
Al7 0.1198 0.5000 0.8802
Al8 0.5000 0.8802 0.1198
Al9 0.1198 0.8802 0.5000
Al10 0.8802 0.5000 0.1198
Al11 0.5000 0.1198 0.8802
Al12 0.5781 0.8357 0.5781
Cu1 0.7044 0.2610 0.2610
Cu2 0.2610 0.2610 0.7044
Cu3 0.2610 0.7044 0.2610
Cu4 0.7390 0.7390 0.2956
Cu5 0.2956 0.7390 0.7390
Cu6 0.7390 0.2956 0.7390

Calculated values
Space group: R-3m, No. 166



Sr2Al3Cu2 | GGA-PBE | relaxed

a = 4.2089 Å, b = 6.1325 Å, c = 7.6227 Å
α = 121.14°, β = 90.00°, γ = 110.07°
Element x y z (fractional)
Sr1 0.8669 0.7339 0.2358
Sr2 0.1331 0.2661 0.7642
Al1 0.5000 0.0000 0.0000
Al2 0.6558 0.3116 0.4316
Al3 0.3442 0.6884 0.5684
Cu1 0.8740 0.7479 0.7984
Cu2 0.1260 0.2521 0.2016

Calculated values
Space group: C2/m, No. 12



SrAl12Cu4 | GGA-PBE | relaxed

a = 7.5149 Å, b = 7.5149 Å, c = 7.5149 Å
α = 109.47°, β = 109.47°, γ = 109.47°
Element x y z (fractional)
Sr1 0.0000 0.0000 0.0000
Al1 0.8311 0.3448 0.1758
Al2 0.3448 0.5137 0.1689
Al3 0.8242 0.1689 0.6552
Al4 0.3448 0.1758 0.8311
Al5 0.1758 0.8311 0.3448
Al6 0.6552 0.4863 0.8311
Al7 0.5137 0.1689 0.3448
Al8 0.4863 0.8311 0.6552
Al9 0.6552 0.8242 0.1689
Al10 0.8311 0.6552 0.4863
Al11 0.1689 0.3448 0.5137
Al12 0.1689 0.6552 0.8242
Cu1 0.0000 0.5000 0.0000
Cu2 0.5000 0.0000 0.0000
Cu3 0.5000 0.5000 0.5000
Cu4 0.0000 0.0000 0.5000

Calculated values
Space group: Im-3, No. 204



Sr2Al9Cu3 | GGA-PBE | relaxed

a = 7.7354 Å, b = 7.7354 Å, c = 10.8409 Å
α = 90.57°, β = 109.93°, γ = 120.55°
Element x y z (fractional)
Sr1 0.3362 0.2479 0.7502
Sr2 0.6638 0.7521 0.2498
Sr3 0.9977 0.5860 0.7498
Sr4 0.0023 0.4140 0.2502
Al1 0.4666 0.9193 0.7459
Al2 0.5334 0.0807 0.2541
Al3 0.6733 0.7207 0.7541
Al4 0.3267 0.2793 0.2459
Al5 0.4588 0.6500 0.9302
Al6 0.5412 0.3500 0.0698
Al7 0.2197 0.5285 0.5698
Al8 0.7803 0.4715 0.4302
Al9 0.8739 0.1239 0.7500
Al10 0.1261 0.8761 0.2500
Al11 0.1367 0.9871 0.9572
Al12 0.8633 0.0129 0.0428
Al13 0.5299 0.1795 0.5428
Al14 0.4701 0.8205 0.4572
Al15 0.8702 0.8573 0.5682
Al16 0.1298 0.1427 0.4318
Al17 0.7891 0.3020 0.9318
Al18 0.2109 0.6980 0.0682
Cu1 0.5000 0.0000 0.0000
Cu2 0.5000 0.5000 0.5000
Cu3 0.8427 0.1720 0.4983
Cu4 0.1573 0.8280 0.5017
Cu5 0.1736 0.3444 0.0017
Cu6 0.8264 0.6556 0.9983

Calculated values
Space group: C2/c, No. 15



Sr2Al2Cu | GGA-PBE | relaxed

a = 5.6517 Å, b = 4.5199 Å, c = 6.3488 Å
α = 69.15°, β = 63.57°, γ = 90.00°
Element x y z (fractional)
Sr1 0.6904 0.1904 0.6192
Sr2 0.3096 0.8096 0.3808
Al1 0.2346 0.5000 0.0000
Al2 0.7654 0.5000 0.0000
Cu1 0.0000 0.0000 0.0000

Calculated values
Space group: Immm, No. 71
Relative energy among the computed polymorphs: 0.000 eV/atom



Going through the records in order, we get total magnetization values of 0.000; 0.000; 0.000; 0.000; 0.000; 0.000; 0.000; 0.000; 0.000; 0.000; 0.000; 0.000; 0.000; 0.000; 0.000; 0.000; 0.000; 0.000; 0.000; 0.000; 0.000 μB/atom.
Going through the records in order, we get E_form values of -0.008; 0.244; -0.001; -0.232; 0.697; -0.235; 0.024; -0.241; -0.014; -0.259; 1.696; -0.166; -0.232; -0.202; -0.254; -0.135; -0.127; -0.237; 0.110; -0.174; -0.154 eV/atom.